Entry 1:
PmScAg2Te4 | PBE | relaxed

Geometry as POSCAR:
```
PmScAg2Te4
1.0
7.408 0.000 0.000
3.704 5.954 -0.599
3.704 -0.109 5.983
Te Ag Pm Sc
4 2 1 1
Direct
0.515 0.101 0.457
0.927 0.457 0.101
0.073 0.899 0.543
0.485 0.543 0.899
0.812 0.688 0.688
0.188 0.312 0.312
0.000 0.000 0.000
0.500 0.500 0.500
```

Properties
space-group type = I222, No. 23
uncorrected formation energy = -0.67 eV per atom


Entry 2:
Ni4MoIr | PBE | relaxed

Geometry as POSCAR:
```
Ni4MoIr
1.0
4.038 0.000 0.000
0.000 6.702 0.000
-2.019 0.000 6.066
Mo Ni Ir
2 8 2
Direct
0.362 0.750 0.723
0.638 0.250 0.277
0.759 0.916 0.518
0.448 0.250 0.897
0.241 0.416 0.482
0.000 0.500 0.000
0.000 0.000 0.000
0.241 0.084 0.482
0.552 0.750 0.103
0.759 0.584 0.518
0.844 0.250 0.688
0.156 0.750 0.312
```

Properties
formation energy from the elements = 375 meV/atom
space-group type = Cmcm, No. 63
relative energy among the computed polymorphs = 478 meV/atom


Entry 3:
Be2CdC | PBE | relaxed

Geometry as POSCAR:
```
Be2CdC
1.0
2.283 -2.067 2.620
-1.676 -2.837 2.343
0.806 -3.906 -0.664
Be Cd C
2 1 1
Direct
0.250 0.250 0.250
0.750 0.750 0.750
0.500 0.500 0.500
0.000 0.000 0.000
```

Properties
formation energy from the elements = 1452 meV/atom
space-group type = Fm-3m, No. 225
relative energy among the computed polymorphs = 1078 meV/atom


What did the first record say?
PmScAg2Te4 | PBE | relaxed

Geometry as POSCAR:
```
PmScAg2Te4
1.0
7.408 0.000 0.000
3.704 5.954 -0.599
3.704 -0.109 5.983
Te Ag Pm Sc
4 2 1 1
Direct
0.515 0.101 0.457
0.927 0.457 0.101
0.073 0.899 0.543
0.485 0.543 0.899
0.812 0.688 0.688
0.188 0.312 0.312
0.000 0.000 0.000
0.500 0.500 0.500
```

Properties
space-group type = I222, No. 23
uncorrected formation energy = -0.67 eV per atom